[1]
VASP calculation (GGA-PBE) on K2TlP2O6 after structural relaxation.

a = 10.7771 Å, b = 5.9440 Å, c = 7.1145 Å
α = 90.00°, β = 121.48°, γ = 90.00°
Space group C2/m (No. 12)
Unique sites:
K1 0.2085 0.0000 0.1929 x4
Tl1 0.0000 0.0000 0.5000 x2
P1 0.0275 0.5000 0.1818 x4
O1 0.0490 0.2816 0.8171 x8
O2 0.1925 0.5000 0.3311 x4

Properties
* DOS(E_F): 2.8 states/eV/f.u.
* DFT total energy: -5.9884 eV/atom

---

[2]
VASP calculation (GGA-PBE) on KU2P3O12 after structural relaxation.

a = 9.2398 Å, b = 9.2398 Å, c = 25.1138 Å
α = 90.00°, β = 90.00°, γ = 120.00°
Space group R-3c (No. 167, hexagonal axes)
Unique sites:
K1 0.0000 0.0000 0.0000 x6
U1 0.0000 0.0000 0.1497 x12
P1 0.0000 0.2926 0.2500 x18
O1 0.0220 0.1995 0.9078 x36
O2 0.0305 0.2127 0.2001 x36

Properties
* DOS(E_F): 12.7 states/eV/f.u.
* DFT total energy: -8.1677 eV/atom

---

[3]
VASP calculation (GGA-PBE) on KU2P3O12 after structural relaxation.

a = 17.6744 Å, b = 6.8251 Å, c = 8.1226 Å
α = 90.00°, β = 102.10°, γ = 90.00°
Space group Cc (No. 9)
Unique sites:
K1 0.0000 0.0989 0.0000 x4
U1 0.1653 0.4042 0.8389 x4
U2 0.3569 0.0960 0.7634 x4
P1 0.0111 0.4046 0.5502 x4
P2 0.2031 0.0923 0.4844 x4
P3 0.3194 0.4078 0.1192 x4
O1 0.0399 0.2778 0.7088 x4
O2 0.0823 0.4643 0.0406 x4
O3 0.1534 0.0937 0.9518 x4
O4 0.1668 0.2634 0.3726 x4
O5 0.2163 0.1528 0.6749 x4
O6 0.2340 0.4497 0.1324 x4
O7 0.2886 0.0497 0.4711 x4
O8 0.3070 0.3473 0.9291 x4
O9 0.3568 0.2393 0.2332 x4
O10 0.3696 0.4065 0.6516 x4
O11 0.4392 0.0335 0.5605 x4
O12 0.4821 0.2178 0.8888 x4

Properties
* DOS(E_F): 6.3 states/eV/f.u.
* DFT total energy: -8.1368 eV/atom

---

[4]
VASP calculation (GGA-PBE) on KU2P3O14 after structural relaxation.

a = 11.2622 Å, b = 10.4139 Å, c = 11.2895 Å
α = 90.00°, β = 90.00°, γ = 90.00°
Space group Pbcn (No. 60)
Unique sites:
K1 0.0000 0.1053 0.2500 x4
U1 0.1972 0.1792 0.6014 x8
P1 0.0000 0.4210 0.7500 x4
P2 0.1824 0.4329 0.3851 x8
O1 0.0498 0.4831 0.3480 x8
O2 0.0558 0.0966 0.5946 x8
O3 0.1017 0.3461 0.6974 x8
O4 0.1572 0.2985 0.4337 x8
O5 0.1615 0.2390 0.1179 x8
O6 0.2264 0.4723 0.9778 x8
O7 0.2386 0.0684 0.7747 x8

Properties
* DOS(E_F): 0.0 states/eV/f.u.
* DFT total energy: -8.0655 eV/atom

---

[5]
VASP calculation (GGA-PBE) on KUPO5 after structural relaxation.

a = 7.3266 Å, b = 9.6623 Å, c = 7.9604 Å
α = 90.00°, β = 114.37°, γ = 90.00°
Space group C2/c (No. 15)
Unique sites:
K1 0.0000 0.1628 0.2500 x4
U1 0.0000 0.5000 0.0000 x4
P1 0.0000 0.1833 0.7500 x4
O1 0.0000 0.4292 0.2500 x4
O2 0.0803 0.2767 0.6344 x8
O3 0.1703 0.0875 0.8820 x8

Properties
* DOS(E_F): 3.6 states/eV/f.u.
* DFT total energy: -7.9450 eV/atom

---

[6]
VASP calculation (GGA-PBE) on K4UP2O10 after structural relaxation.

a = 6.9574 Å, b = 6.9574 Å, c = 12.0882 Å
α = 90.00°, β = 90.00°, γ = 90.00°
Space group P4_2/nmc (No. 137, origin choice 2)
Unique sites:
K1 0.0013 0.2500 0.0777 x8
U1 0.2500 0.7500 0.2500 x2
P1 0.2500 0.2500 0.3306 x4
O1 0.0665 0.2500 0.4008 x8
O2 0.0743 0.2500 0.7463 x8
O3 0.2500 0.7500 0.0968 x4

Properties
* DOS(E_F): 0.0 states/eV/f.u.
* DFT total energy: -6.9816 eV/atom

---

[7]
VASP calculation (GGA-PBE) on KUP3O11 after structural relaxation.

a = 15.1015 Å, b = 8.7079 Å, c = 20.2005 Å
α = 90.00°, β = 131.40°, γ = 90.00°
Space group P2_1/c (No. 14)
Unique sites:
K1 0.9997 0.1519 0.2245 x4
K2 0.4662 0.0934 0.7284 x4
U1 0.2286 0.1119 0.9851 x4
U2 0.2594 0.6672 0.2411 x4
P1 0.1174 0.7466 0.5089 x4
P2 0.1403 0.2020 0.6071 x4
P3 0.2196 0.5362 0.9575 x4
P4 0.2988 0.0973 0.2607 x4
P5 0.3585 0.7277 0.4612 x4
P6 0.3778 0.1795 0.8966 x4
O1 0.0060 0.1622 0.5610 x4
O2 0.1046 0.1445 0.8685 x4
O3 0.1096 0.5970 0.4678 x4
O4 0.1165 0.5578 0.8621 x4
O5 0.1257 0.6523 0.2232 x4
O6 0.1436 0.2102 0.0448 x4
O7 0.1499 0.7395 0.5968 x4
O8 0.1747 0.1875 0.1856 x4
O9 0.2082 0.6381 0.0193 x4
O10 0.2092 0.0547 0.6462 x4
O11 0.2578 0.1209 0.5003 x4
O12 0.2632 0.5679 0.7511 x4
O13 0.2678 0.6189 0.4442 x4
O14 0.3248 0.0598 0.8259 x4
O15 0.3273 0.1547 0.3501 x4
O16 0.3402 0.6062 0.9856 x4
O17 0.3549 0.0660 0.0983 x4
O18 0.3622 0.1677 0.9623 x4
O19 0.3668 0.7415 0.3915 x4
O20 0.3926 0.6770 0.2568 x4
O21 0.3938 0.1429 0.2610 x4
O22 0.4846 0.6839 0.5545 x4

Properties
* DOS(E_F): 0.0 states/eV/f.u.
* DFT total energy: -7.6312 eV/atom